(1)
Computed, not measured: a relaxed structure of Ca2Al9Ni3 at the PBE-GGA level of DFT.

Cell lengths 7.471, 7.471, 10.340 Å; angles 111.31, 111.31, 59.70 degrees
Positions (direct):
Ca (0.085, 0.252, 0.250)
Ca (0.252, 0.085, 0.750)
Ca (0.748, 0.915, 0.250)
Ca (0.915, 0.748, 0.750)
Al (0.021, 0.859, 0.071)
Al (0.141, 0.979, 0.429)
Al (0.190, 0.357, 0.569)
Al (0.209, 0.581, 0.252)
Al (0.314, 0.485, 0.951)
Al (0.357, 0.190, 0.069)
Al (0.369, 0.631, 0.750)
Al (0.419, 0.791, 0.248)
Al (0.485, 0.314, 0.451)
Al (0.515, 0.686, 0.549)
Al (0.581, 0.209, 0.752)
Al (0.631, 0.369, 0.250)
Al (0.643, 0.810, 0.931)
Al (0.686, 0.515, 0.049)
Al (0.791, 0.419, 0.748)
Al (0.810, 0.643, 0.431)
Al (0.859, 0.021, 0.571)
Al (0.979, 0.141, 0.929)
Ni (0.000, 0.500, 0.000)
Ni (0.161, 0.669, 0.499)
Ni (0.331, 0.839, 0.001)
Ni (0.500, 0.000, 0.500)
Ni (0.669, 0.161, 0.999)
Ni (0.839, 0.331, 0.501)

Summary:
Magnetization, Bohr magnetons per cell: 0.0
Crystal system: monoclinic
Energy of formation, meV per atom: -479.7
Volume, Å³ per atom: 16.2
Fermi-level density of states, states/eV per cell: 4.97


(2)
Computed, not measured: a relaxed structure of CaAl3Ni at the PBE-GGA level of DFT.

Cell lengths 5.411, 5.411, 5.411 Å; angles 90.00, 90.00, 90.00 degrees
Positions (direct):
Ca (0.000, 0.000, 0.000)
Al (0.000, 0.000, 0.500)
Al (0.000, 0.500, 0.000)
Al (0.500, 0.000, 0.000)
Ni (0.500, 0.500, 0.500)

Summary:
Magnetization, Bohr magnetons per cell: 0.0
Crystal system: cubic
Energy of formation, meV per atom: 1708.3
Volume, Å³ per atom: 31.7
Fermi-level density of states, states/eV per cell: 7.82


(3)
Computed, not measured: a relaxed structure of CaAlNi2 at the PBE-GGA level of DFT.

Cell lengths 3.048, 3.145, 6.829 Å; angles 90.00, 90.00, 90.00 degrees
Positions (direct):
Ca (0.000, 0.000, 0.000)
Al (0.500, 0.500, 0.647)
Ni (0.000, 0.000, 0.465)
Ni (0.500, 0.500, 0.287)

Summary:
Magnetization, Bohr magnetons per cell: 0.0
Crystal system: orthorhombic
Energy of formation, meV per atom: -108.2
Volume, Å³ per atom: 16.4
Fermi-level density of states, states/eV per cell: 3.75


(4)
Computed, not measured: a relaxed structure of CaAlNi2 at the PBE-GGA level of DFT.

Cell lengths 4.512, 4.512, 3.004 Å; angles 90.00, 90.00, 90.00 degrees
Positions (direct):
Ca (0.000, 0.000, 0.000)
Al (0.500, 0.500, 0.000)
Ni (0.000, 0.500, 0.500)
Ni (0.500, 0.000, 0.500)

Summary:
Magnetization, Bohr magnetons per cell: 0.0
Crystal system: tetragonal
Energy of formation, meV per atom: -132.3
Volume, Å³ per atom: 15.3
Fermi-level density of states, states/eV per cell: 1.53